PBE Ca2BiTe, relaxed; energy = -0.1424 hartree per atom; calculated density = 5161 kg/m3; relative energy among the computed polymorphs = 0.000 eV per atom
1.0
4.355 0.000 0.000
2.177 3.771 0.000
2.177 1.257 8.164
Ca Te Bi
2 1 1
direct
0.744 0.744 0.767 Ca
0.256 0.256 0.233 Ca
0.000 0.000 0.000 Te
0.500 0.500 0.500 Bi